# 1
MnAl2CuBi: relaxed, PBE.

Volume = 103.0 Å³/cell
Energy of formation = 540 meV/atom

a b c (Å): 4.6822 4.6976 4.6822
angles (deg): 90.00 90.00 90.00
Closest atoms and distances in Å follow each position.
Element x y z (fractional)
Mn 0.0000 0.0000 0.0000  4 Al 2.34, 2 Cu 2.35
Bi 0.5000 0.5000 0.5000  4 Cu 3.31, 8 Al 3.32
Cu 0.0000 0.5000 0.0000  2 Mn 2.35
Al 0.0000 0.0000 0.5000  2 Mn 2.34
Al 0.5000 0.0000 0.0000  2 Mn 2.34

# 2
Al2CuBiN: relaxed, PBE.

ΔE_f (raw) = 0.624 eV/atom
Volume = 93.6 Å³/cell

a b c (Å): 5.1491 3.5319 5.1491
angles (deg): 90.00 90.00 90.00
Closest atoms and distances in Å follow each position.
Element x y z (fractional)
N 0.0000 0.5000 0.0000  2 Cu 1.77
Bi 0.5000 0.5000 0.5000  8 Al 3.12
Cu 0.0000 0.0000 0.0000  2 N 1.77
Al 0.0000 0.0000 0.5000  2 Cu 2.57
Al 0.5000 0.0000 0.0000  2 Cu 2.57

# 3
AlCuBiO2: relaxed, PBE.

ΔE_f (raw) = -0.854 eV/atom
Volume = 71.9 Å³/cell

a b c (Å): 3.7375 5.1499 3.7375
angles (deg): 90.00 90.00 90.00
Closest atoms and distances in Å follow each position.
Element x y z (fractional)
O 0.0000 0.0000 0.5000  2 Al 1.87
O 0.5000 0.0000 0.0000  2 Al 1.87
Bi 0.5000 0.5000 0.5000  4 Cu 2.64
Cu 0.0000 0.5000 0.0000  2 Al 2.57, 4 Bi 2.64
Al 0.0000 0.0000 0.0000  4 O 1.87

# 4
AlCu2Bi2O6: relaxed, PBE.

ΔE_f (raw) = -1.180 eV/atom
Volume = 145.9 Å³/cell

a b c (Å): 5.8611 5.8611 5.9588
angles (deg): 60.54 60.54 60.00
Closest atoms and distances in Å follow each position.
Element x y z (fractional)
Al 0.0000 0.0000 0.0000  6 O 1.93
Cu 0.4123 0.4123 0.7630  3 O 1.92
Cu 0.5877 0.5877 0.2370  3 O 1.92
Bi 0.8012 0.8012 0.5963  3 O 2.23
Bi 0.1988 0.1988 0.4037  3 O 2.23
O 0.7701 0.7701 0.2555  1 Cu 1.92, 1 Al 1.93
O 0.2043 0.7701 0.2555  1 Cu 1.92, 1 Al 1.93
O 0.7701 0.2043 0.2555  1 Cu 1.92, 1 Al 1.93
O 0.2299 0.7957 0.7445  1 Cu 1.92, 1 Al 1.93
O 0.7957 0.2299 0.7445  1 Cu 1.92, 1 Al 1.93
O 0.2299 0.2299 0.7445  1 Cu 1.92, 1 Al 1.93

Number 1: spin magnetization 0.492 μB per atom. Number 2: spin magnetization 0.000 μB per atom. Number 3: spin magnetization 0.000 μB per atom. Number 4: spin magnetization 0.097 μB per atom.